(1)
# AcMg2Si2Pd

A relaxed structure of AcMg2Si2Pd (PBE-GGA, the Alexandria database).

- Crystal system: tetragonal
- E_form (uncorrected): -15.42 kJ per mole of atoms
- Uncorrected energy: -4.049 eV per atom
- Total moment: 0.0 μB/f.u.

Cell and atoms, written as CIF:
```
data_AcMg2Si2Pd
_chemical_formula_sum 'Ac2 Mg4 Si4 Pd2'
_cell_length_a 5.0706
_cell_length_b 5.0706
_cell_length_c 11.4518
_cell_angle_alpha 90.00
_cell_angle_beta 90.00
_cell_angle_gamma 90.00
_space_group_name_H-M_alt 'I 4/m m m'
_space_group_IT_number 139
_space_group_name_Hall '-I 4 2'
loop_
_atom_site_label
_atom_site_fract_x
_atom_site_fract_y
_atom_site_fract_z
Ac1 0.0000 0.0000 0.0000
Mg1 0.0000 0.5000 0.2500
Si1 0.0000 0.0000 0.2998
Pd1 0.0000 0.0000 0.5000
```



(2)
# AcMgSiPd6

A relaxed structure of AcMgSiPd6 (PBE-GGA, the Alexandria database).

- Crystal system: orthorhombic
- E_form (uncorrected): -41.81 kJ per mole of atoms
- Uncorrected energy: -5.131 eV per atom
- Total moment: 0.0 μB/f.u.

Cell and atoms, written as CIF:
```
data_AcMgSiPd6
_chemical_formula_sum 'Ac4 Mg4 Si4 Pd24'
_cell_length_a 6.5503
_cell_length_b 9.4354
_cell_length_c 11.4092
_cell_angle_alpha 90.00
_cell_angle_beta 90.00
_cell_angle_gamma 90.00
_space_group_name_H-M_alt 'I m m a'
_space_group_IT_number 74
_space_group_name_Hall '-I 2b 2'
loop_
_atom_site_label
_atom_site_fract_x
_atom_site_fract_y
_atom_site_fract_z
Ac1 0.0000 0.2500 0.1802
Mg1 0.2500 0.2500 0.7500
Si1 0.0000 0.0000 0.5000
Pd1 0.0000 0.2500 0.4486
Pd2 0.0000 0.2500 0.9293
Pd3 0.2252 0.0098 0.8733
```



(3)
# AcMg2SnPd4

A relaxed structure of AcMg2SnPd4 (PBE-GGA, the Alexandria database).

- Formation enthalpy at 0 K: -5.3 eV per formula unit
- Crystal system: trigonal
- Uncorrected energy: -4.676 eV per atom
- Total moment: 0.0 μB/f.u.

Cell and atoms, written as CIF:
```
data_AcMg2SnPd4
_chemical_formula_sum 'Ac3 Mg6 Sn3 Pd12'
_cell_length_a 4.5407
_cell_length_b 4.5407
_cell_length_c 27.5144
_cell_angle_alpha 90.00
_cell_angle_beta 90.00
_cell_angle_gamma 120.00
_space_group_name_H-M_alt 'R -3 m'
_space_group_IT_number 166
_space_group_name_Hall '-R 3 2"'
loop_
_atom_site_label
_atom_site_fract_x
_atom_site_fract_y
_atom_site_fract_z
Ac1 0.0000 0.0000 0.0000
Mg1 0.0000 0.0000 0.2357
Sn1 0.0000 0.0000 0.5000
Pd1 0.0000 0.0000 0.1296
Pd2 0.0000 0.0000 0.4016
```



(4)
# AcMgSn2Pd4

A relaxed structure of AcMgSn2Pd4 (PBE-GGA, the Alexandria database).

- Formation enthalpy at 0 K: -5.9 eV per formula unit
- Crystal system: trigonal
- Uncorrected energy: -5.046 eV per atom
- Total moment: 0.0 μB/f.u.

Cell and atoms, written as CIF:
```
data_AcMgSn2Pd4
_chemical_formula_sum 'Ac3 Mg3 Sn6 Pd12'
_cell_length_a 4.5890
_cell_length_b 4.5890
_cell_length_c 27.1908
_cell_angle_alpha 90.00
_cell_angle_beta 90.00
_cell_angle_gamma 120.00
_space_group_name_H-M_alt 'R -3 m'
_space_group_IT_number 166
_space_group_name_Hall '-R 3 2"'
loop_
_atom_site_label
_atom_site_fract_x
_atom_site_fract_y
_atom_site_fract_z
Ac1 0.0000 0.0000 0.0000
Mg1 0.0000 0.0000 0.5000
Sn1 0.0000 0.0000 0.2384
Pd1 0.0000 0.0000 0.1343
Pd2 0.0000 0.0000 0.4026
```



(5)
# Ac2MgSn3Pd6

A relaxed structure of Ac2MgSn3Pd6 (PBE-GGA, the Alexandria database).

- Formation enthalpy at 0 K: -6.1 eV per formula unit
- Crystal system: tetragonal
- Uncorrected energy: -4.924 eV per atom
- Total moment: 0.0 μB/f.u.

Cell and atoms, written as CIF:
```
data_Ac2MgSn3Pd6
_chemical_formula_sum 'Ac2 Mg1 Sn3 Pd6'
_cell_length_a 4.2836
_cell_length_b 4.2836
_cell_length_c 16.5849
_cell_angle_alpha 90.00
_cell_angle_beta 90.00
_cell_angle_gamma 90.00
_space_group_name_H-M_alt 'P 4/m m m'
_space_group_IT_number 123
_space_group_name_Hall '-P 4 2'
loop_
_atom_site_label
_atom_site_fract_x
_atom_site_fract_y
_atom_site_fract_z
Ac1 0.0000 0.0000 0.2008
Mg1 0.0000 0.0000 0.5000
Sn1 0.5000 0.5000 0.0000
Sn2 0.5000 0.5000 0.3157
Pd1 0.0000 0.5000 0.4076
Pd2 0.5000 0.5000 0.1545
```



(6)
# Ac2MgSn4Pd3

A relaxed structure of Ac2MgSn4Pd3 (PBE-GGA, the Alexandria database).

- Formation enthalpy at 0 K: -7.5 eV per formula unit
- Crystal system: tetragonal
- Uncorrected energy: -4.890 eV per atom
- Total moment: 0.0 μB/f.u.

Cell and atoms, written as CIF:
```
data_Ac2MgSn4Pd3
_chemical_formula_sum 'Ac2 Mg1 Sn4 Pd3'
_cell_length_a 4.6107
_cell_length_b 4.6107
_cell_length_c 11.6143
_cell_angle_alpha 90.00
_cell_angle_beta 90.00
_cell_angle_gamma 90.00
_space_group_name_H-M_alt 'P -4 m 2'
_space_group_IT_number 115
_space_group_name_Hall 'P -4 -2'
loop_
_atom_site_label
_atom_site_fract_x
_atom_site_fract_y
_atom_site_fract_z
Ac1 0.0000 0.5000 0.2465
Mg1 0.0000 0.0000 0.5000
Sn1 0.0000 0.0000 0.0000
Sn2 0.0000 0.5000 0.6405
Sn3 0.5000 0.5000 0.0000
Pd1 0.0000 0.5000 0.8717
Pd2 0.5000 0.5000 0.5000
```



- What is the formula in the fifth record?
  Ac2MgSn3Pd6